# PBE MgZnSnRh2, relaxed
data_MgZnSnRh2
_chemical_formula_sum 'Mg1 Zn1 Sn1 Rh2'
_symmetry_space_group_name_H-M 'P 1'
_symmetry_Int_Tables_number 1
_symmetry_space_group_name_Hall 'P 1'
_cell_length_a 4.6208
_cell_length_b 4.6208
_cell_length_c 4.5482
_cell_angle_alpha 90.00
_cell_angle_beta 90.00
_cell_angle_gamma 90.00
loop_
_atom_site_label
_atom_site_fract_x
_atom_site_fract_y
_atom_site_fract_z
_atom_site_occupancy
Mg1 0.0000 0.0000 0.0000 1
Zn1 0.0000 0.0000 0.5000 1
Sn1 0.5000 0.5000 0.0000 1
Rh1 0.0000 0.5000 0.5000 1
Rh2 0.5000 0.0000 0.5000 1
# Electronic total energy: -19.892 eV for the cell shown
# SG: P4/mmm (123)